YAgSnIr | GGA-PBE | optimized geometry

CIF file:
```
data_YAgSnIr
_symmetry_space_group_name_H-M 'P 1'
_symmetry_Int_Tables_number 1
_cell_length_a 4.840
_cell_length_b 4.840
_cell_length_c 4.840
_cell_angle_alpha 60.00
_cell_angle_beta 60.00
_cell_angle_gamma 60.00
loop_
_symmetry_equiv_pos_as_xyz
'x,y,z'
loop_
_atom_site_label
_atom_site_fract_x
_atom_site_fract_y
_atom_site_fract_z
Y1 0.250 0.250 0.250
Ir1 0.000 0.000 0.000
Sn1 0.750 0.750 0.750
Ag1 0.500 0.500 0.500
```

Properties
calculated total energy: -23.87 eV per cell
space-group type: No. 216
DOS at the Fermi energy: 2.2 states/eV/cell


TiInPd2Rh | GGA-PBE | optimized geometry

CIF file:
```
data_TiInPd2Rh
_symmetry_space_group_name_H-M 'P 1'
_symmetry_Int_Tables_number 1
_cell_length_a 4.995
_cell_length_b 4.367
_cell_length_c 4.995
_cell_angle_alpha 90.00
_cell_angle_beta 90.00
_cell_angle_gamma 90.00
loop_
_symmetry_equiv_pos_as_xyz
'x,y,z'
loop_
_atom_site_label
_atom_site_fract_x
_atom_site_fract_y
_atom_site_fract_z
Ti1 0.000 0.500 0.000
Rh1 0.000 0.000 0.000
Pd1 0.000 0.000 0.500
Pd2 0.500 0.000 0.000
In1 0.500 0.500 0.500
```

Properties
calculated total energy: -26.17 eV per cell
space-group type: No. 123
DOS at the Fermi energy: 4.8 states/eV/cell


LaCd2Ir | GGA-PBE | optimized geometry

CIF file:
```
data_LaCd2Ir
_symmetry_space_group_name_H-M 'P 1'
_symmetry_Int_Tables_number 1
_cell_length_a 5.145
_cell_length_b 3.396
_cell_length_c 5.418
_cell_angle_alpha 74.24
_cell_angle_beta 90.00
_cell_angle_gamma 90.00
loop_
_symmetry_equiv_pos_as_xyz
'x,y,z'
loop_
_atom_site_label
_atom_site_fract_x
_atom_site_fract_y
_atom_site_fract_z
Cd1 0.000 0.121 0.028
Cd2 0.000 0.379 0.472
Ir1 0.500 0.250 0.250
La1 0.500 0.750 0.750
```

Properties
calculated total energy: -16.42 eV per cell
space-group type: No. 10
DOS at the Fermi energy: 1.7 states/eV/cell


Ac4Al3TlO12 | GGA-PBE | optimized geometry

CIF file:
```
data_Ac4Al3TlO12
_symmetry_space_group_name_H-M 'P 1'
_symmetry_Int_Tables_number 1
_cell_length_a 6.917
_cell_length_b 6.917
_cell_length_c 6.917
_cell_angle_alpha 109.47
_cell_angle_beta 109.47
_cell_angle_gamma 109.47
loop_
_symmetry_equiv_pos_as_xyz
'x,y,z'
loop_
_atom_site_label
_atom_site_fract_x
_atom_site_fract_y
_atom_site_fract_z
Ac1 0.500 0.500 0.500
Ac2 0.000 0.000 0.500
Ac3 0.500 0.000 0.000
Ac4 0.000 0.500 0.000
Al1 0.500 0.000 0.500
Al2 0.500 0.500 0.000
Al3 0.000 0.500 0.500
Tl1 0.000 0.000 0.000
O1 0.250 0.500 0.750
O2 0.730 0.000 0.730
O3 0.270 0.000 0.270
O4 0.750 0.500 0.250
O5 0.730 0.730 0.000
O6 0.270 0.270 0.000
O7 0.750 0.250 0.500
O8 0.250 0.750 0.500
O9 0.500 0.250 0.750
O10 0.000 0.730 0.730
O11 0.500 0.750 0.250
O12 0.000 0.270 0.270
```

Properties
calculated total energy: -146.77 eV per cell
space-group type: No. 229
DOS at the Fermi energy: 0.0 states/eV/cell


La2ZnAs | GGA-PBE | optimized geometry

CIF file:
```
data_La2ZnAs
_symmetry_space_group_name_H-M 'P 1'
_symmetry_Int_Tables_number 1
_cell_length_a 3.868
_cell_length_b 3.868
_cell_length_c 7.028
_cell_angle_alpha 90.00
_cell_angle_beta 90.00
_cell_angle_gamma 90.00
loop_
_symmetry_equiv_pos_as_xyz
'x,y,z'
loop_
_atom_site_label
_atom_site_fract_x
_atom_site_fract_y
_atom_site_fract_z
As1 0.500 0.500 0.000
Zn1 0.500 0.500 0.500
La1 0.000 0.000 0.764
La2 0.000 0.000 0.236
```

Properties
space-group type: No. 123
DOS at the Fermi energy: 3.1 states/eV/cell
ΔE to the lowest computed polymorph: 0.0254 eV per atom


Pr4TlPt2 | GGA-PBE | optimized geometry

CIF file:
```
data_Pr4TlPt2
_symmetry_space_group_name_H-M 'P 1'
_symmetry_Int_Tables_number 1
_cell_length_a 4.949
_cell_length_b 4.949
_cell_length_c 10.390
_cell_angle_alpha 76.22
_cell_angle_beta 76.22
_cell_angle_gamma 60.00
loop_
_symmetry_equiv_pos_as_xyz
'x,y,z'
loop_
_atom_site_label
_atom_site_fract_x
_atom_site_fract_y
_atom_site_fract_z
Pr1 0.385 0.385 0.844
Pr2 0.203 0.203 0.390
Pr3 0.797 0.797 0.610
Pr4 0.615 0.615 0.156
Tl1 0.000 0.000 0.000
Pt1 0.102 0.102 0.695
Pt2 0.898 0.898 0.305
```

Properties
calculated total energy: -38.11 eV per cell
space-group type: No. 166
DOS at the Fermi energy: 5.5 states/eV/cell


SiPBrO2 | GGA-PBE | optimized geometry

CIF file:
```
data_SiPBrO2
_symmetry_space_group_name_H-M 'P 1'
_symmetry_Int_Tables_number 1
_cell_length_a 3.844
_cell_length_b 3.844
_cell_length_c 5.164
_cell_angle_alpha 90.00
_cell_angle_beta 90.00
_cell_angle_gamma 90.00
loop_
_symmetry_equiv_pos_as_xyz
'x,y,z'
loop_
_atom_site_label
_atom_site_fract_x
_atom_site_fract_y
_atom_site_fract_z
P1 0.000 0.000 0.500
Si1 0.500 0.500 0.500
O1 0.000 0.500 0.000
O2 0.500 0.000 0.000
Br1 0.000 0.000 0.000
```

Properties
space-group type: No. 123
DOS at the Fermi energy: 2.4 states/eV/cell
ΔE to the lowest computed polymorph: 1.5499 eV per atom


YIN2F | GGA-PBE | optimized geometry

CIF file:
```
data_YIN2F
_symmetry_space_group_name_H-M 'P 1'
_symmetry_Int_Tables_number 1
_cell_length_a 4.633
_cell_length_b 4.633
_cell_length_c 6.108
_cell_angle_alpha 90.00
_cell_angle_beta 90.00
_cell_angle_gamma 90.00
loop_
_symmetry_equiv_pos_as_xyz
'x,y,z'
loop_
_atom_site_label
_atom_site_fract_x
_atom_site_fract_y
_atom_site_fract_z
I1 0.000 0.000 0.500
Y1 0.000 0.000 0.000
N1 0.000 0.500 0.000
N2 0.500 0.000 0.000
F1 0.500 0.500 0.500
```

Properties
space-group type: No. 123
DOS at the Fermi energy: 7.0 states/eV/cell
ΔE to the lowest computed polymorph: 0.5943 eV per atom


SiBRhAuCS | GGA-PBE | optimized geometry

CIF file:
```
data_SiBRhAuCS
_symmetry_space_group_name_H-M 'P 1'
_symmetry_Int_Tables_number 1
_cell_length_a 2.776
_cell_length_b 5.221
_cell_length_c 7.107
_cell_angle_alpha 102.76
_cell_angle_beta 89.96
_cell_angle_gamma 105.46
loop_
_symmetry_equiv_pos_as_xyz
'x,y,z'
loop_
_atom_site_label
_atom_site_fract_x
_atom_site_fract_y
_atom_site_fract_z
C1 0.882 0.115 0.192
B1 0.283 0.917 0.818
Si1 0.032 0.415 0.380
S1 0.285 0.921 0.091
Au1 0.946 0.241 0.743
Rh1 0.659 0.668 0.624
```

Properties
space-group type: No. 8
DOS at the Fermi energy: 0.9 states/eV/cell
ΔE to the lowest computed polymorph: 0.1500 eV per atom


Hf3Ti2Bi4 | GGA-PBE | optimized geometry

CIF file:
```
data_Hf3Ti2Bi4
_symmetry_space_group_name_H-M 'P 1'
_symmetry_Int_Tables_number 1
_cell_length_a 4.032
_cell_length_b 7.418
_cell_length_c 9.604
_cell_angle_alpha 128.59
_cell_angle_beta 90.00
_cell_angle_gamma 105.77
loop_
_symmetry_equiv_pos_as_xyz
'x,y,z'
loop_
_atom_site_label
_atom_site_fract_x
_atom_site_fract_y
_atom_site_fract_z
Hf1 0.655 0.310 0.672
Hf2 0.000 0.000 0.000
Hf3 0.345 0.690 0.328
Ti1 0.688 0.377 0.358
Ti2 0.312 0.623 0.642
Bi1 0.666 0.331 0.031
Bi2 0.334 0.669 0.969
Bi3 0.966 0.931 0.646
Bi4 0.034 0.069 0.354
```

Properties
calculated total energy: -62.13 eV per cell
space-group type: No. 12
DOS at the Fermi energy: 5.3 states/eV/cell


YCrHS2 | GGA-PBE | optimized geometry

CIF file:
```
data_YCrHS2
_symmetry_space_group_name_H-M 'P 1'
_symmetry_Int_Tables_number 1
_cell_length_a 5.200
_cell_length_b 6.265
_cell_length_c 5.200
_cell_angle_alpha 90.00
_cell_angle_beta 90.00
_cell_angle_gamma 90.00
loop_
_symmetry_equiv_pos_as_xyz
'x,y,z'
loop_
_atom_site_label
_atom_site_fract_x
_atom_site_fract_y
_atom_site_fract_z
Y1 0.000 0.000 0.000
Cr1 0.000 0.500 0.000
S1 0.000 0.000 0.500
S2 0.500 0.000 0.000
H1 0.500 0.500 0.500
```

Properties
calculated total energy: -24.29 eV per cell
space-group type: No. 123
DOS at the Fermi energy: 4.5 states/eV/cell


IrOs2C | GGA-PBE | optimized geometry

CIF file:
```
data_IrOs2C
_symmetry_space_group_name_H-M 'P 1'
_symmetry_Int_Tables_number 1
_cell_length_a 5.093
_cell_length_b 5.093
_cell_length_c 6.140
_cell_angle_alpha 65.50
_cell_angle_beta 65.50
_cell_angle_gamma 90.00
loop_
_symmetry_equiv_pos_as_xyz
'x,y,z'
loop_
_atom_site_label
_atom_site_fract_x
_atom_site_fract_y
_atom_site_fract_z
C1 0.500 0.500 0.000
C2 0.250 0.750 0.500
Ir1 0.000 0.000 0.000
Ir2 0.750 0.250 0.500
Os1 0.551 0.125 0.250
Os2 0.199 0.625 0.250
Os3 0.375 0.449 0.750
Os4 0.875 0.801 0.750
```

Properties
calculated total energy: -73.37 eV per cell
space-group type: No. 122
DOS at the Fermi energy: 11.5 states/eV/cell


HoSn5Te7 | GGA-PBE | optimized geometry

CIF file:
```
data_HoSn5Te7
_symmetry_space_group_name_H-M 'P 1'
_symmetry_Int_Tables_number 1
_cell_length_a 4.380
_cell_length_b 7.833
_cell_length_c 26.042
_cell_angle_alpha 89.99
_cell_angle_beta 90.00
_cell_angle_gamma 106.24
loop_
_symmetry_equiv_pos_as_xyz
'x,y,z'
loop_
_atom_site_label
_atom_site_fract_x
_atom_site_fract_y
_atom_site_fract_z
Ho1 0.793 0.586 0.263
Ho2 0.208 0.415 0.763
Sn1 0.014 0.028 0.002
Sn2 0.744 0.488 0.926
Sn3 0.287 0.575 0.076
Sn4 0.525 0.050 0.350
Sn5 0.443 0.885 0.651
Sn6 0.986 0.973 0.502
Sn7 0.257 0.514 0.426
Sn8 0.713 0.425 0.576
Sn9 0.476 0.952 0.850
Sn10 0.558 0.115 0.151
Te1 0.435 0.869 0.246
Te2 0.566 0.132 0.747
Te3 0.652 0.303 0.039
Te4 0.378 0.756 0.963
Te5 0.349 0.698 0.539
Te6 0.623 0.245 0.463
Te7 0.207 0.413 0.184
Te8 0.826 0.652 0.819
Te9 0.794 0.587 0.684
Te10 0.175 0.350 0.319
Te11 0.928 0.857 0.107
Te12 0.118 0.236 0.876
Te13 0.072 0.143 0.607
Te14 0.883 0.766 0.376
```

Properties
calculated total energy: -104.98 eV per cell
space-group type: No. 8
DOS at the Fermi energy: 11.6 states/eV/cell